[1]
Computed, not measured: a PBEsol-optimized structure of ScAgPb2 at the SCAN level of DFT.

Cell: 3.472 4.288 6.235 Å, 90.00 90.00 90.00°
Space group Pmm2 (No. 25)
Asymmetric unit:
Sc 0.000 0.000 0.000 (multiplicity 1)
Ag 0.500 0.500 0.260 (multiplicity 1)
Pb 0.000 0.000 0.480 (multiplicity 1)
Pb 0.500 0.500 0.790 (multiplicity 1)

Results
The total energy comes out at -49.459 eV per atom. As for the formation energy: -0.17 eV/atom.

[2]
Computed, not measured: a PBEsol-optimized structure of ScAgPb at the SCAN level of DFT.

Cell: 4.7617 4.7617 3.2466 Å, 90.00 90.00 120.00°
Space group P3m1 (No. 156)
Asymmetric unit:
Sc 0.0000 0.0000 0.0000 (multiplicity 1)
Ag 0.6667 0.3333 0.4864 (multiplicity 1)
Pb 0.3333 0.6667 0.5168 (multiplicity 1)

Results
The total energy comes out at -40.779 eV per atom. As for the formation energy: -0.32 eV/atom.

[3]
Computed, not measured: a PBEsol-optimized structure of AgPb2Se at the SCAN level of DFT.

Cell: 3.9012 3.9012 23.3113 Å, 90.00 90.00 120.00°
Space group R3m (No. 160, hexagonal axes)
Asymmetric unit:
Ag 0.0000 0.0000 0.0000 (multiplicity 3)
Pb 0.0000 0.0000 0.5198 (multiplicity 3)
Pb 0.0000 0.0000 0.7446 (multiplicity 3)
Se 0.0000 0.0000 0.2677 (multiplicity 3)

Results
The total energy comes out at -50.821 eV per atom.

[4]
Computed, not measured: a PBEsol-optimized structure of AgPb2Se at the SCAN level of DFT.

Cell: 4.208 4.208 5.909 Å, 90.00 90.00 90.00°
Space group P4/mmm (No. 123)
Asymmetric unit:
Ag 0.000 0.000 0.000 (multiplicity 1)
Pb 0.000 0.000 0.500 (multiplicity 1)
Pb 0.500 0.500 0.000 (multiplicity 1)
Se 0.500 0.500 0.500 (multiplicity 1)

Results
The total energy comes out at -50.888 eV per atom.